Record 1
An optimized crystal structure of BaB3O, computed with GGA-PBE.

Properties
electronic total energy	-10.41	eV per formula unit

a b c (Å): 5.2758 5.2758 5.2758
angles (deg): 90.00 90.00 90.00
Closest atoms and distances in Å follow each position.
Space group Pm-3m (No. 221)
Inequivalent atoms, fractional coordinates:
1 Ba 0.0000 0.0000 0.0000 [1 per cell]  6 B 2.64
2 B 0.0000 0.0000 0.5000 [3 per cell]  2 Ba 2.64
3 O 0.5000 0.5000 0.5000 [1 per cell]  12 B 3.73

---

Record 2
An optimized crystal structure of As2SeBrCl, computed with GGA-PBE.

Properties
electronic total energy	-12.93	eV per formula unit
energy relative to the lowest polymorph listed for this composition	0	meV/atom

a b c (Å): 5.1869 5.1869 5.2815
angles (deg): 90.00 90.00 90.00
Closest atoms and distances in Å follow each position.
Space group P4/mmm (No. 123)
Inequivalent atoms, fractional coordinates:
1 As 0.0000 0.5000 0.0000 [2 per cell]  2 Se 2.59
2 Se 0.0000 0.0000 0.0000 [1 per cell]  4 As 2.59, 2 Br 2.64
3 Br 0.0000 0.0000 0.5000 [1 per cell]  2 Se 2.64
4 Cl 0.5000 0.5000 0.5000 [1 per cell]  4 Br 3.67, 8 As 3.70

---

Record 3
An optimized crystal structure of YFeTeN2, computed with GGA-PBE.

Properties
electronic total energy	-29.35	eV per formula unit
energy relative to the lowest polymorph listed for this composition	643	meV/atom

a b c (Å): 4.3703 4.3703 6.2974
angles (deg): 90.00 90.00 90.00
Closest atoms and distances in Å follow each position.
Space group P4/mmm (No. 123)
Inequivalent atoms, fractional coordinates:
1 Y 0.0000 0.0000 0.0000 [1 per cell]  4 N 2.19
2 Fe 0.5000 0.5000 0.5000 [1 per cell]  4 Te 3.09
3 Te 0.0000 0.0000 0.5000 [1 per cell]  4 Fe 3.09, 2 Y 3.15
4 N 0.0000 0.5000 0.0000 [2 per cell]  2 Y 2.19

---

These records have ΔE_f (raw) values of 3300; 674; 1073 meV per atom, in the order they appear.
These records have size of the total moment values of 0.00; 1.42; 6.99 μB/f.u., in the order they appear.